First-principles (GGA-PBE) data for a geometry-optimized Y5In2Os2 structure, as listed in Alexandria.

Energy of formation from the pure elements in eV per formula unit: -2.8
DOS at the Fermi energy in states/eV/cell: 12.71
DFT total energy in Ha/atom: -0.2576
Space group: Cmce, No. 64

CIF file:
```
data_Y5In2Os2
_chemical_formula_sum 'Y10 In4 Os4'
_cell_length_a 7.504
_cell_length_b 7.564
_cell_length_c 9.106
_cell_angle_alpha 90.00
_cell_angle_beta 65.67
_cell_angle_gamma 90.00
_space_group_name_H-M_alt 'P 1'
_space_group_IT_number 1
loop_
_space_group_symop_operation_xyz
'x,y,z'
loop_
_atom_site_label
_atom_site_fract_x
_atom_site_fract_y
_atom_site_fract_z
In1 0.774 0.000 0.452
Y1 0.304 0.682 0.761
Y2 0.065 0.682 0.239
Y3 0.435 0.182 0.761
Os1 0.887 0.618 0.000
Os2 0.387 0.882 0.000
Y4 0.000 0.000 0.000
In2 0.274 0.500 0.452
Y5 0.196 0.182 0.239
Y6 0.935 0.318 0.761
In3 0.726 0.500 0.548
Os3 0.113 0.382 0.000
In4 0.226 0.000 0.548
Y7 0.565 0.818 0.239
Os4 0.613 0.118 0.000
Y8 0.804 0.818 0.761
Y9 0.696 0.318 0.239
Y10 0.500 0.500 0.000
```